Entry from Alexandria: a geometry-optimized Nd2TlCd2 structure (PBE).

energy relative to the elements: -0.21 eV per atom
ΔE to the lowest computed polymorph: 1.692 kcal/mol of atoms
size of the total moment: 0.00 Bohr magnetons per cell
SG: No. 166

Lattice parameters (Å, degrees): 6.3990 6.3990 6.3990 49.61 49.61 49.61
Fractional coordinates of all 5 atoms:
Nd 0.2269 0.2269 0.2269
Nd 0.7731 0.7731 0.7731
Tl 0.0000 0.0000 0.0000
Cd 0.4158 0.4158 0.4158
Cd 0.5842 0.5842 0.5842

Entry from Alexandria: a geometry-optimized Ti3Pd3Pt2 structure (PBE).

energy relative to the elements: -0.72 eV per atom
ΔE to the lowest computed polymorph: 0.000 kcal/mol of atoms
size of the total moment: 1.59 Bohr magnetons per cell
SG: No. 47

Lattice parameters (Å, degrees): 3.8485 3.9713 8.0875 90.00 90.00 90.00
Fractional coordinates of all 8 atoms:
Ti 0.0000 0.0000 0.0000
Ti 0.0000 0.5000 0.2597
Ti 0.0000 0.5000 0.7403
Pd 0.0000 0.0000 0.5000
Pd 0.5000 0.5000 0.0000
Pd 0.5000 0.5000 0.5000
Pt 0.5000 0.0000 0.2456
Pt 0.5000 0.0000 0.7544

Entry from Alexandria: a geometry-optimized LiAcH4 structure (PBE).

ΔE to the lowest computed polymorph: 0.000 kcal/mol of atoms
size of the total moment: 0.00 Bohr magnetons per cell
SG: No. 1

Lattice parameters (Å, degrees): 4.0791 4.1454 4.7651 71.18 70.99 66.50
Fractional coordinates of all 6 atoms:
Li 0.0000 0.0000 0.0000
Ac 0.5478 0.4400 0.5007
H 0.1996 0.0255 0.6201
H 0.4775 0.1001 0.0867
H 0.8785 0.5026 0.9009
H 0.9565 0.7910 0.3783

Entry from Alexandria: a geometry-optimized LiCaU2N4 structure (PBE).

ΔE_f (raw): -1188 meV per atom
size of the total moment: 6.04 Bohr magnetons per cell
SG: No. 63

Lattice parameters (Å, degrees): 5.8807 5.8807 11.2848 90.00 90.00 145.06
Fractional coordinates of all 16 atoms:
Li 0.1673 0.8327 0.7500
Li 0.8327 0.1673 0.2500
Ca 0.0973 0.9027 0.2500
Ca 0.9027 0.0973 0.7500
U 0.3720 0.6280 0.0589
U 0.3720 0.6280 0.4411
U 0.6280 0.3720 0.5589
U 0.6280 0.3720 0.9411
N 0.0000 0.0000 0.0000
N 0.0000 0.0000 0.5000
N 0.2552 0.7448 0.6016
N 0.2552 0.7448 0.8984
N 0.4361 0.5639 0.2500
N 0.5639 0.4361 0.7500
N 0.7448 0.2552 0.1016
N 0.7448 0.2552 0.3984

Entry from Alexandria: a geometry-optimized CoP2 structure (PBE).

energy relative to the elements: -0.20 eV per atom
size of the total moment: 0.00 Bohr magnetons per cell
SG: No. 166

Lattice parameters (Å, degrees): 3.6437 3.6437 3.6437 67.09 67.09 67.09
Fractional coordinates of all 3 atoms:
Co 0.0000 0.0000 0.0000
P 0.2703 0.2703 0.2703
P 0.7297 0.7297 0.7297

Entry from Alexandria: a geometry-optimized Pm4Ga16Ru3 structure (PBE).

energy relative to the elements: -0.55 eV per atom
size of the total moment: 0.00 Bohr magnetons per cell
SG: No. 123

Lattice parameters (Å, degrees): 6.1835 6.1835 11.4370 90.00 90.00 90.00
Fractional coordinates of all 23 atoms:
Pm 0.0000 0.5000 0.1924
Pm 0.0000 0.5000 0.8076
Pm 0.5000 0.0000 0.1924
Pm 0.5000 0.0000 0.8076
Ga 0.0000 0.0000 0.1977
Ga 0.0000 0.0000 0.8023
Ga 0.2141 0.2141 0.0000
Ga 0.2141 0.7859 0.0000
Ga 0.2519 0.2519 0.3829
Ga 0.2519 0.2519 0.6171
Ga 0.2519 0.7481 0.3829
Ga 0.2519 0.7481 0.6171
Ga 0.5000 0.5000 0.2202
Ga 0.5000 0.5000 0.7798
Ga 0.7481 0.2519 0.3829
Ga 0.7481 0.2519 0.6171
Ga 0.7481 0.7481 0.3829
Ga 0.7481 0.7481 0.6171
Ga 0.7859 0.2141 0.0000
Ga 0.7859 0.7859 0.0000
Ru 0.0000 0.5000 0.5000
Ru 0.5000 0.0000 0.5000
Ru 0.5000 0.5000 0.0000

Entry from Alexandria: a geometry-optimized ReTe2Se structure (PBE).

ΔE_f (raw): 539 meV per atom
size of the total moment: 0.00 Bohr magnetons per cell
SG: No. 10

Lattice parameters (Å, degrees): 2.7845 4.0200 8.9604 90.00 90.27 90.00
Fractional coordinates of all 4 atoms:
Re 0.0000 0.0000 0.0000
Te 0.0022 0.5000 0.7925
Te 0.9978 0.5000 0.2075
Se 0.0000 0.0000 0.5000

Entry from Alexandria: a geometry-optimized Sc2CuNiPt2 structure (PBE).

energy relative to the elements: -0.79 eV per atom
size of the total moment: 0.00 Bohr magnetons per cell
SG: No. 72

Lattice parameters (Å, degrees): 7.8498 7.8498 7.8498 139.77 58.22 139.75
Fractional coordinates of all 12 atoms:
Sc 0.1717 0.2463 0.4180
Sc 0.3283 0.7463 0.0746
Sc 0.6717 0.2537 0.9254
Sc 0.8283 0.7537 0.5820
Cu 0.2500 0.2500 0.0000
Cu 0.7500 0.7500 0.0000
Ni 0.2500 0.7500 0.5000
Ni 0.7500 0.2500 0.5000
Pt 0.1295 0.7465 0.8760
Pt 0.3705 0.2465 0.6171
Pt 0.6295 0.7535 0.3829
Pt 0.8705 0.2535 0.1240

Entry from Alexandria: a geometry-optimized SrCdF2 structure (PBE).

ΔE to the lowest computed polymorph: 3.029 kcal/mol of atoms
ΔE_f (raw): -2561 meV per atom
size of the total moment: 0.00 Bohr magnetons per cell
SG: No. 122

Lattice parameters (Å, degrees): 7.6358 7.6358 7.6358 127.63 127.63 77.22
Fractional coordinates of all 8 atoms:
Sr 0.0000 0.0000 0.0000
Sr 0.7500 0.2500 0.5000
Cd 0.2500 0.7500 0.5000
Cd 0.5000 0.5000 0.0000
F 0.3750 0.2029 0.3279
F 0.7971 0.1250 0.1721
F 0.8750 0.0471 0.6721
F 0.9529 0.6250 0.8279

Entry from Alexandria: a geometry-optimized Hf2Cu2Os structure (PBE).

energy relative to the elements: -0.25 eV per atom
ΔE to the lowest computed polymorph: 0.000 kcal/mol of atoms
size of the total moment: 0.00 Bohr magnetons per cell
SG: No. 65

Lattice parameters (Å, degrees): 7.2889 7.2889 3.2085 90.00 90.00 151.30
Fractional coordinates of all 5 atoms:
Hf 0.1109 0.8891 0.0000
Hf 0.8891 0.1109 0.0000
Cu 0.3033 0.6967 0.5000
Cu 0.6967 0.3033 0.5000
Os 0.5000 0.5000 0.5000

Entry from Alexandria: a geometry-optimized La3CdO structure (PBE).

ΔE to the lowest computed polymorph: 2.886 kcal/mol of atoms
ΔE_f (raw): -1182 meV per atom
size of the total moment: 0.00 Bohr magnetons per cell
SG: No. 11

Lattice parameters (Å, degrees): 4.0614 10.2992 7.6676 90.00 105.34 90.00
Fractional coordinates of all 10 atoms:
La 0.0407 0.2500 0.0778
La 0.3608 0.0662 0.7167
La 0.3608 0.4338 0.7167
La 0.6392 0.5662 0.2833
La 0.6392 0.9338 0.2833
La 0.9593 0.7500 0.9222
Cd 0.2722 0.7500 0.5499
Cd 0.7278 0.2500 0.4501
O 0.4558 0.2500 0.9077
O 0.5442 0.7500 0.0923

Entry from Alexandria: a geometry-optimized PmTl2AsO4 structure (PBE).

ΔE_f (raw): -1345 meV per atom
size of the total moment: 0.00 Bohr magnetons per cell
SG: No. 15

Lattice parameters (Å, degrees): 6.9640 6.9640 7.4692 114.53 114.53 89.25
Fractional coordinates of all 16 atoms:
Pm 0.0000 0.0000 0.0000
Pm 0.0000 0.0000 0.5000
Tl 0.0000 0.5000 0.0000
Tl 0.5000 0.0000 0.5000
Tl 0.5000 0.5000 0.0000
Tl 0.5000 0.5000 0.5000
As 0.0000 0.5000 0.5000
As 0.5000 0.0000 0.0000
O 0.1421 0.2301 0.3914
O 0.1529 0.6866 0.4390
O 0.2301 0.1421 0.8914
O 0.3134 0.8471 0.0610
O 0.6866 0.1529 0.9390
O 0.7699 0.8579 0.1086
O 0.8471 0.3134 0.5610
O 0.8579 0.7699 0.6086

Entry from Alexandria: a geometry-optimized SrLi2AsH structure (PBE).

ΔE to the lowest computed polymorph: 3.503 kcal/mol of atoms
size of the total moment: 0.00 Bohr magnetons per cell
SG: No. 123

Lattice parameters (Å, degrees): 4.3791 4.3791 4.8472 90.00 90.00 90.00
Fractional coordinates of all 5 atoms:
Sr 0.0000 0.0000 0.0000
Li 0.0000 0.5000 0.5000
Li 0.5000 0.0000 0.5000
As 0.5000 0.5000 0.0000
H 0.0000 0.0000 0.5000

Entry from Alexandria: a geometry-optimized SrLa3Os structure (PBE).

energy relative to the elements: 0.24 eV per atom
ΔE to the lowest computed polymorph: 7.459 kcal/mol of atoms
size of the total moment: 0.00 Bohr magnetons per cell
SG: No. 119

Lattice parameters (Å, degrees): 10.5629 10.5629 10.5629 145.09 145.09 50.20
Fractional coordinates of all 10 atoms:
Sr 0.1969 0.1969 0.0000
Sr 0.8031 0.8031 0.0000
La 0.0285 0.5285 0.5000
La 0.1221 0.3720 0.7501
La 0.4715 0.9715 0.5000
La 0.6218 0.3720 0.2499
La 0.6280 0.3782 0.7501
La 0.6280 0.8779 0.2499
Os 0.5000 0.5000 0.0000
Os 0.7500 0.2500 0.5000

Entry from Alexandria: a geometry-optimized ZnCoW structure (PBE).

energy relative to the elements: 0.36 eV per atom
ΔE to the lowest computed polymorph: 6.025 kcal/mol of atoms
size of the total moment: 0.01 Bohr magnetons per cell
SG: No. 216

Lattice parameters (Å, degrees): 3.9874 3.9874 3.9874 60.00 60.00 60.00
Fractional coordinates of all 3 atoms:
Zn 0.0000 0.0000 0.0000
Co 0.2500 0.2500 0.2500
W 0.5000 0.5000 0.5000

Entry from Alexandria: a geometry-optimized Sm2HgP structure (PBE).

energy relative to the elements: -0.98 eV per atom
ΔE to the lowest computed polymorph: 0.000 kcal/mol of atoms
size of the total moment: 0.00 Bohr magnetons per cell
SG: No. 166

Lattice parameters (Å, degrees): 8.0367 8.0367 8.0367 29.19 29.19 29.19
Fractional coordinates of all 4 atoms:
Sm 0.2363 0.2363 0.2363
Sm 0.7637 0.7637 0.7637
Hg 0.0000 0.0000 0.0000
P 0.5000 0.5000 0.5000

Entry from Alexandria: a geometry-optimized Rb2GaPdCl6 structure (PBE).

ΔE_f (raw): -1168 meV per atom
size of the total moment: 0.00 Bohr magnetons per cell
SG: No. 139

Lattice parameters (Å, degrees): 6.9405 6.9405 6.9405 115.42 115.42 98.14
Fractional coordinates of all 10 atoms:
Rb 0.2500 0.7500 0.5000
Rb 0.7500 0.2500 0.5000
Ga 0.0000 0.0000 0.0000
Pd 0.5000 0.5000 0.0000
Cl 0.2368 0.2368 0.4736
Cl 0.2368 0.7632 0.0000
Cl 0.2490 0.2490 0.0000
Cl 0.7510 0.7510 0.0000
Cl 0.7632 0.2368 0.0000
Cl 0.7632 0.7632 0.5264

Entry from Alexandria: a geometry-optimized PrCd3Au2 structure (PBE).

energy relative to the elements: -0.41 eV per atom
size of the total moment: 0.00 Bohr magnetons per cell
SG: No. 12

Lattice parameters (Å, degrees): 8.7935 8.7935 7.9624 111.79 111.79 29.71
Fractional coordinates of all 12 atoms:
Pr 0.1187 0.1187 0.1674
Pr 0.8813 0.8813 0.8326
Cd 0.0627 0.0627 0.6814
Cd 0.3112 0.3112 0.0989
Cd 0.3545 0.3545 0.5064
Cd 0.6455 0.6455 0.4936
Cd 0.6888 0.6888 0.9011
Cd 0.9373 0.9373 0.3186
Au 0.2378 0.2378 0.7062
Au 0.4898 0.4898 0.1689
Au 0.5102 0.5102 0.8311
Au 0.7622 0.7622 0.2938

Entry from Alexandria: a geometry-optimized SiNi2HRu structure (PBE).

size of the total moment: 0.00 Bohr magnetons per cell
SG: No. 123
E: -6.18 eV per atom

Lattice parameters (Å, degrees): 3.5937 3.5937 3.8451 90.00 90.00 90.00
Fractional coordinates of all 5 atoms:
Si 0.0000 0.0000 0.0000
Ni 0.0000 0.5000 0.5000
Ni 0.5000 0.0000 0.5000
H 0.5000 0.5000 0.5000
Ru 0.5000 0.5000 0.0000

Entry from Alexandria: a geometry-optimized Hf2CuPbF structure (PBE).

ΔE_f (raw): -150 meV per atom
size of the total moment: 0.00 Bohr magnetons per cell
SG: No. 123

Lattice parameters (Å, degrees): 4.3164 4.3164 5.2493 90.00 90.00 90.00
Fractional coordinates of all 5 atoms:
Hf 0.0000 0.5000 0.0000
Hf 0.5000 0.0000 0.0000
Cu 0.0000 0.0000 0.5000
Pb 0.5000 0.5000 0.5000
F 0.5000 0.5000 0.0000

Entry from Alexandria: a geometry-optimized K2AgSnBr6 structure (PBE).

ΔE_f (raw): -1026 meV per atom
size of the total moment: 0.00 Bohr magnetons per cell
SG: No. 59

Lattice parameters (Å, degrees): 7.8493 11.2458 7.9084 90.00 90.00 90.00
Fractional coordinates of all 20 atoms:
K 0.2500 0.0303 0.2178
K 0.2500 0.4697 0.2178
K 0.7500 0.5303 0.7822
K 0.7500 0.9697 0.7822
Ag 0.2500 0.2500 0.7392
Ag 0.7500 0.7500 0.2608
Sn 0.2500 0.7500 0.7560
Sn 0.7500 0.2500 0.2440
Br 0.0005 0.2500 0.9896
Br 0.9995 0.7500 0.0104
Br 0.0097 0.2500 0.4825
Br 0.2500 0.5009 0.7623
Br 0.2500 0.9991 0.7623
Br 0.4903 0.2500 0.4825
Br 0.4995 0.2500 0.9896
Br 0.5005 0.7500 0.0104
Br 0.5097 0.7500 0.5175
Br 0.7500 0.0009 0.2377
Br 0.7500 0.4991 0.2377
Br 0.9903 0.7500 0.5175

Entry from Alexandria: a geometry-optimized V2HIrOs structure (PBE).

ΔE to the lowest computed polymorph: 0.442 kcal/mol of atoms
size of the total moment: 0.00 Bohr magnetons per cell
SG: No. 123

Lattice parameters (Å, degrees): 3.9258 3.9258 3.7364 90.00 90.00 90.00
Fractional coordinates of all 5 atoms:
V 0.0000 0.5000 0.0000
V 0.5000 0.0000 0.0000
H 0.0000 0.0000 0.0000
Ir 0.0000 0.0000 0.5000
Os 0.5000 0.5000 0.5000

Entry from Alexandria: a geometry-optimized LiNbRh4 structure (PBE).

energy relative to the elements: -0.07 eV per atom
size of the total moment: 0.00 Bohr magnetons per cell
SG: No. 12

Lattice parameters (Å, degrees): 4.4994 4.4994 5.2657 105.29 105.29 108.31
Fractional coordinates of all 6 atoms:
Li 0.0000 0.0000 0.0000
Nb 0.5000 0.5000 0.5000
Rh 0.0565 0.4494 0.7559
Rh 0.4494 0.0565 0.7559
Rh 0.5506 0.9435 0.2441
Rh 0.9435 0.5506 0.2441